SrMnRe2 | Alexandria | PBE-GGA | optimized geometry; space group = R-3m (166); energy relative to the elements = 0.874 eV per atom; electronic total energy = -8.06 eV per atom; energy above the lowest structure with this stoichiometry = 0.3929 eV/atom
1.0
2.869 0.000 0.000
-1.434 2.485 0.000
0.000 0.000 28.926
Sr Mn Re
3 3 6
Direct
0.000 0.000 0.000
0.333 0.667 0.667
0.667 0.333 0.333
0.000 0.000 0.500
0.333 0.667 0.167
0.667 0.333 0.833
0.000 0.000 0.235
0.000 0.000 0.765
0.333 0.667 0.432
0.333 0.667 0.902
0.667 0.333 0.098
0.667 0.333 0.568